K3Ga2Au3 after structural relaxation, computed with PBE-GGA.

The space group is Cmcm (No. 63) and the conventional cell measures 4.783, 11.777 and 15.452 Å, with angles of 90.00, 90.00 and 90.00 degrees. The asymmetric unit holds K at (0.000, 0.085, 0.118), K at (0.000, 0.402, 0.250), Ga at (0.000, 0.209, 0.585), Au at (0.000, 0.283, 0.750) and Au at (0.000, 0.378, 0.032).

For the calculated formation energy, the calculation gives -0.297 eV/atom. The calculation puts the energy at -2.69 eV per atom. The relative energy among the computed polymorphs is 0.0000 eV/atom. The volume is 870.32 Å³/cell.